Crystalline NaBeV at its relaxed geometry, computed with PBE.

a b c (Å): 4.8291 4.8291 4.6514
angles (deg): 90.00 90.00 120.00
Space group P-6m2 (No. 187)
Symmetry-distinct sites (fractional):
Na 0.0000 0.0000 0.0000 (multiplicity 1)
Na 0.0000 0.0000 0.5000 (multiplicity 1)
Be 0.6667 0.3333 0.2489 (multiplicity 2)
V 0.3333 0.6667 0.2069 (multiplicity 2)

The energy of formation comes out at 1027 meV per atom. As for the total magnetization: 0.3 μB per formula unit. Its energy is -3.694 eV per atom. As for the energy above the most stable polymorph in this dataset: 0.750 eV/atom.

Crystalline NaBeV at its relaxed geometry, computed with PBE.

a b c (Å): 6.335 3.656 10.270
angles (deg): 90.00 101.99 90.00
Space group C2/m (No. 12)
Symmetry-distinct sites (fractional):
Na 0.215 0.000 0.150 (multiplicity 4)
Be 0.166 0.500 0.500 (multiplicity 4)
V 0.036 0.000 0.609 (multiplicity 4)

The energy of formation comes out at 383 meV per atom. As for the total magnetization: 0.0 μB per formula unit. Its energy is -4.339 eV per atom. As for the energy above the most stable polymorph in this dataset: 0.105 eV/atom.

Crystalline NaYBeV2 at its relaxed geometry, computed with PBE.

a b c (Å): 4.606 4.606 5.194
angles (deg): 90.00 90.00 90.00
Space group P4/mmm (No. 123)
Symmetry-distinct sites (fractional):
Na 0.000 0.000 0.000 (multiplicity 1)
Y 0.000 0.000 0.500 (multiplicity 1)
Be 0.500 0.500 0.500 (multiplicity 1)
V 0.000 0.500 0.000 (multiplicity 2)

The energy of formation comes out at 2117 meV per atom. As for the total magnetization: 0.0 μB per formula unit. Its energy is -3.832 eV per atom.

Crystalline Na3BeW at its relaxed geometry, computed with PBE.

a b c (Å): 5.906 5.906 5.906
angles (deg): 90.00 90.00 90.00
Space group Pm-3m (No. 221)
Symmetry-distinct sites (fractional):
Na 0.000 0.000 0.500 (multiplicity 3)
Be 0.500 0.500 0.500 (multiplicity 1)
W 0.000 0.000 0.000 (multiplicity 1)

The energy of formation comes out at 2010 meV per atom. As for the total magnetization: 5.4 μB per formula unit. Its energy is -2.117 eV per atom. As for the energy above the most stable polymorph in this dataset: 0.270 eV/atom.

Crystalline Na3BeW at its relaxed geometry, computed with PBE.

a b c (Å): 5.229 5.229 5.229
angles (deg): 90.00 90.00 90.00
Space group Pm-3m (No. 221)
Symmetry-distinct sites (fractional):
Na 0.000 0.000 0.500 (multiplicity 3)
Be 0.000 0.000 0.000 (multiplicity 1)
W 0.500 0.500 0.500 (multiplicity 1)

The energy of formation comes out at 1740 meV per atom. As for the total magnetization: 4.4 μB per formula unit. Its energy is -2.387 eV per atom. As for the energy above the most stable polymorph in this dataset: 0.000 eV/atom.

Crystalline NaBeW3 at its relaxed geometry, computed with PBE.

a b c (Å): 4.340 4.340 4.340
angles (deg): 90.00 90.00 90.00
Space group Pm-3m (No. 221)
Symmetry-distinct sites (fractional):
Na 0.000 0.000 0.000 (multiplicity 1)
Be 0.500 0.500 0.500 (multiplicity 1)
W 0.000 0.500 0.500 (multiplicity 3)

The energy of formation comes out at 1367 meV per atom. As for the total magnetization: 0.0 μB per formula unit. Its energy is -7.414 eV per atom.